(1)
# PdS2BrCl

A PBEsol-optimized structure of PdS2BrCl (SCAN, Alexandria via LeMat-Bulk).

Results
DOS at the Fermi energy	5.5	states/eV/cell

abc: 4.6581 4.6581 4.6956
angles: 90.00 90.00 90.00
Last column: nearest neighbours and their distance in Å.
Space group P4/mmm (No. 123)
One atom of each set of equivalent atoms:
Pd 0.0000 0.0000 0.0000 (multiplicity 1)  4 S 2.33, 2 Cl 2.35
S 0.0000 0.5000 0.0000 (multiplicity 2)  2 Pd 2.33
Br 0.5000 0.5000 0.5000 (multiplicity 1)  4 Cl 3.29, 8 S 3.31
Cl 0.0000 0.0000 0.5000 (multiplicity 1)  2 Pd 2.35



(2)
# ZrPd2BrCl

A PBEsol-optimized structure of ZrPd2BrCl (SCAN, Alexandria via LeMat-Bulk).

Results
DOS at the Fermi energy	3.5	states/eV/cell

abc: 4.6305 4.6305 5.0696
angles: 90.00 90.00 90.00
Last column: nearest neighbours and their distance in Å.
Space group P4/mmm (No. 123)
One atom of each set of equivalent atoms:
Zr 0.0000 0.0000 0.0000 (multiplicity 1)  2 Br 2.53
Pd 0.0000 0.5000 0.5000 (multiplicity 2)  2 Br 2.32
Br 0.0000 0.0000 0.5000 (multiplicity 1)  4 Pd 2.32, 2 Zr 2.53
Cl 0.5000 0.5000 0.0000 (multiplicity 1)  4 Zr 3.27, 8 Pd 3.43



(3)
# PrBrCl2

A PBEsol-optimized structure of PrBrCl2 (SCAN, Alexandria via LeMat-Bulk).

Results
DOS at the Fermi energy	0.0	states/eV/cell

abc: 7.4657 4.2854 7.5529
angles: 90.00 118.75 90.00
Last column: nearest neighbours and their distance in Å.
Space group Pm (No. 6)
One atom of each set of equivalent atoms:
Pr 0.0000 0.0000 0.0000 (multiplicity 1)  5 Cl 2.89-3.00, 4 Br 3.01-3.04
Pr 0.3298 0.5000 0.6667 (multiplicity 1)  7 Cl 2.87-2.95, 2 Br 3.04-3.09
Br 0.3043 0.5000 0.2523 (multiplicity 1)  3 Pr 3.04, 2 Cl 3.38
Br 0.7477 0.5000 0.0552 (multiplicity 1)  3 Pr 3.01-3.09
Cl 0.0663 0.0000 0.4246 (multiplicity 1)  3 Pr 2.89-3.00
Cl 0.3481 0.0000 0.9284 (multiplicity 1)  3 Pr 2.87-2.90
Cl 0.5863 0.0000 0.6522 (multiplicity 1)  3 Pr 2.91-2.94
Cl 0.9679 0.5000 0.7285 (multiplicity 1)  3 Pr 2.89-2.95



(4)
# PtBr2Cl

A PBEsol-optimized structure of PtBr2Cl (SCAN, Alexandria via LeMat-Bulk).

Results
excess energy over the best structure of this formula in the dataset	1235	meV/atom
DOS at the Fermi energy	18.5	states/eV/cell

abc: 6.7660 6.7660 6.7660
angles: 90.00 90.00 90.00
Last column: nearest neighbours and their distance in Å.
Space group F-43m (No. 216)
One atom of each set of equivalent atoms:
Pt 0.0000 0.0000 0.0000 (multiplicity 4)  4 Cl 2.93, 4 Br 2.93
Br 0.0000 0.0000 0.5000 (multiplicity 4)  4 Cl 2.93, 4 Br 2.93
Br 0.2500 0.2500 0.2500 (multiplicity 4)  4 Br 2.93, 4 Pt 2.93
Cl 0.2500 0.2500 0.7500 (multiplicity 4)  4 Br 2.93, 4 Pt 2.93



(5)
# PtBr2Cl

A PBEsol-optimized structure of PtBr2Cl (SCAN, Alexandria via LeMat-Bulk).

Results
excess energy over the best structure of this formula in the dataset	0	meV/atom
DOS at the Fermi energy	3.1	states/eV/cell

abc: 3.5945 5.2631 11.3469
angles: 90.00 90.00 90.00
Last column: nearest neighbours and their distance in Å.
Space group Amm2 (No. 38)
One atom of each set of equivalent atoms:
Pt 0.0000 0.0000 0.0000 (multiplicity 2)  2 Cl 2.36, 4 Br 2.45-2.63
Br 0.0000 0.0000 0.5080 (multiplicity 2)  2 Pt 2.63
Br 0.5000 0.0000 0.8527 (multiplicity 2)  2 Pt 2.45
Cl 0.5000 0.0000 0.1349 (multiplicity 2)  2 Pt 2.36



(6)
# Pt2BrCl

A PBEsol-optimized structure of Pt2BrCl (SCAN, Alexandria via LeMat-Bulk).

Results
excess energy over the best structure of this formula in the dataset	756	meV/atom
DOS at the Fermi energy	2.2	states/eV/cell

abc: 3.1281 3.1281 7.6478
angles: 90.00 90.00 90.00
Last column: nearest neighbours and their distance in Å.
Space group P4mm (No. 99)
One atom of each set of equivalent atoms:
Pt 0.0000 0.0000 0.0000 (multiplicity 1)  4 Pt 2.70, 4 Cl 2.72
Pt 0.5000 0.5000 0.2035 (multiplicity 1)  4 Pt 2.70, 4 Br 2.78
Br 0.0000 0.0000 0.4244 (multiplicity 1)  4 Pt 2.78
Cl 0.5000 0.5000 0.7929 (multiplicity 1)  4 Pt 2.72



(7)
# PtBr2Cl

A PBEsol-optimized structure of PtBr2Cl (SCAN, Alexandria via LeMat-Bulk).

Results
excess energy over the best structure of this formula in the dataset	864	meV/atom
DOS at the Fermi energy	4.6	states/eV/cell

abc: 2.9915 3.1982 9.6958
angles: 90.00 90.00 90.00
Last column: nearest neighbours and their distance in Å.
Space group Pmm2 (No. 25)
One atom of each set of equivalent atoms:
Pt 0.0000 0.0000 0.0000 (multiplicity 1)  4 Cl 2.68, 4 Br 2.76, 2 Pt 2.99
Br 0.0000 0.0000 0.5051 (multiplicity 1)  4 Br 2.99-3.20
Br 0.5000 0.5000 0.1739 (multiplicity 1)  4 Pt 2.76, 2 Br 2.99
Cl 0.5000 0.5000 0.8404 (multiplicity 1)  4 Pt 2.68, 2 Cl 2.99



(8)
# Pt2BrCl

A PBEsol-optimized structure of Pt2BrCl (SCAN, Alexandria via LeMat-Bulk).

Results
excess energy over the best structure of this formula in the dataset	0	meV/atom
DOS at the Fermi energy	0.0	states/eV/cell

abc: 3.6380 3.6380 21.8279
angles: 90.00 90.00 120.00
Last column: nearest neighbours and their distance in Å.
Space group R3m (No. 160, hexagonal axes)
One atom of each set of equivalent atoms:
Pt 0.0000 0.0000 0.0000 (multiplicity 3)  3 Br 2.54, 3 Pt 2.56
Pt 0.0000 0.0000 0.2664 (multiplicity 3)  3 Cl 2.46, 3 Pt 2.56
Br 0.0000 0.0000 0.7321 (multiplicity 3)  3 Pt 2.54
Cl 0.0000 0.0000 0.5411 (multiplicity 3)  3 Pt 2.46



(9)
# PtBr2Cl

A PBEsol-optimized structure of PtBr2Cl (SCAN, Alexandria via LeMat-Bulk).

Results
excess energy over the best structure of this formula in the dataset	354	meV/atom
DOS at the Fermi energy	9.4	states/eV/cell

abc: 3.5894 7.3641 7.9306
angles: 90.00 90.00 90.00
Last column: nearest neighbours and their distance in Å.
Space group Cmmm (No. 65)
One atom of each set of equivalent atoms:
Pt 0.0000 0.0000 0.0000 (multiplicity 2)  4 Br 2.43
Br 0.0000 0.5000 0.2061 (multiplicity 4)  2 Pt 2.43
Cl 0.0000 0.0000 0.5000 (multiplicity 2)  4 Br 2.94



(10)
# Pt2BrCl

A PBEsol-optimized structure of Pt2BrCl (SCAN, Alexandria via LeMat-Bulk).

Results
excess energy over the best structure of this formula in the dataset	1364	meV/atom
DOS at the Fermi energy	7.9	states/eV/cell

abc: 4.5464 4.5464 6.5269
angles: 90.00 90.00 90.00
Last column: nearest neighbours and their distance in Å.
Space group I4/mmm (No. 139)
One atom of each set of equivalent atoms:
Pt 0.0000 0.5000 0.2500 (multiplicity 4)  4 Cl 2.80, 4 Br 2.80
Br 0.0000 0.0000 0.0000 (multiplicity 2)  8 Pt 2.80
Cl 0.0000 0.0000 0.5000 (multiplicity 2)  8 Pt 2.80



(11)
# PtBrCl3

A PBEsol-optimized structure of PtBrCl3 (SCAN, Alexandria via LeMat-Bulk).

Results
DOS at the Fermi energy	10.2	states/eV/cell

abc: 5.0165 5.0165 5.0165
angles: 90.00 90.00 90.00
Last column: nearest neighbours and their distance in Å.
Space group Pm-3m (No. 221)
One atom of each set of equivalent atoms:
Pt 0.0000 0.0000 0.0000 (multiplicity 1)  12 Cl 3.55
Br 0.5000 0.5000 0.5000 (multiplicity 1)  6 Cl 2.51
Cl 0.0000 0.5000 0.5000 (multiplicity 3)  2 Br 2.51



(12)
# Pt2BrCl

A PBEsol-optimized structure of Pt2BrCl (SCAN, Alexandria via LeMat-Bulk).

Results
excess energy over the best structure of this formula in the dataset	1053	meV/atom
DOS at the Fermi energy	4.2	states/eV/cell

abc: 7.6089 3.4755 5.4823
angles: 90.00 105.83 90.00
Last column: nearest neighbours and their distance in Å.
Space group C2/m (No. 12)
One atom of each set of equivalent atoms:
Pt 0.2448 0.0000 0.2672 (multiplicity 4)  3 Cl 2.53-2.66, 3 Br 2.67-2.73
Br 0.0000 0.5000 0.0000 (multiplicity 2)  6 Pt 2.67-2.73
Cl 0.0000 0.0000 0.5000 (multiplicity 2)  6 Pt 2.53-2.66



For the records above, the corresponding ΔE_f (raw) values read 0.45; 0.33; -2.45; 0.95; -0.28; 0.40; 0.58; -0.36; 0.07; 1.01; 1.14; 0.69 eV per atom.